Record 1
The following is a PBE-GGA calculation of a relaxed PmPr3YTm crystal, from Alexandria via LeMat-Bulk.

Output
**Symmetry**: P2_1/m
**Formation energy from the elements**: 0.019 eV per atom
**Raw total energy**: -29.911 eV per formula unit
**Calculated density**: 6.67 g/cm3

Lattice parameters (Å, degrees): 3.649 10.950 10.912 109.57 90.00 90.00
Element x y z (fractional)
Pm 0.250 0.627 0.126
Pm 0.750 0.373 0.874
Pr 0.750 0.878 0.046
Pr 0.250 0.122 0.954
Pr 0.250 0.630 0.460
Pr 0.750 0.370 0.540
Pr 0.750 0.372 0.208
Pr 0.250 0.628 0.792
Y 0.250 0.121 0.623
Y 0.750 0.879 0.377
Tm 0.250 0.122 0.294
Tm 0.750 0.878 0.706

Record 2
The following is a PBE-GGA calculation of a relaxed Hf2TlCo crystal, from Alexandria via LeMat-Bulk.

Output
**Symmetry**: P4/mmm
**Formation energy from the elements**: -0.104 eV per atom
**E above lowest polymorph**: 0.00 eV/f.u.
**Raw total energy**: -29.793 eV per formula unit
**Calculated density**: 13.38 g/cm3

Lattice parameters (Å, degrees): 3.091 3.091 8.058 90.00 90.00 90.00
Last column: magnetic moment on the atom in μB.
Element x y z (fractional)
Co 0.500 0.500 0.000  0.10
Tl 0.500 0.500 0.500  0.00
Hf 0.000 0.000 0.802  -0.01
Hf 0.000 0.000 0.198  -0.01

Record 3
The following is a PBE-GGA calculation of a relaxed RuCO2F crystal, from Alexandria via LeMat-Bulk.

Output
**Symmetry**: P4/mmm
**Raw total energy**: -25.571 eV per formula unit
**Calculated density**: 5.66 g/cm3

Lattice parameters (Å, degrees): 3.574 3.574 3.766 90.00 90.00 90.00
Last column: magnetic moment on the atom in μB.
Element x y z (fractional)
Ru 0.500 0.500 0.500  3.45
C 0.000 0.000 0.000  0.01
O 0.000 0.500 0.000  0.26
O 0.500 0.000 0.000  0.26
F 0.000 0.000 0.500  0.10

Record 4
The following is a PBE-GGA calculation of a relaxed Ba4LiPm3Se8 crystal, from Alexandria via LeMat-Bulk.

Output
**Symmetry**: R-3m
**Raw total energy**: -81.581 eV per formula unit
**Calculated density**: 5.48 g/cm3

Lattice parameters (Å, degrees): 8.791 8.932 8.792 119.48 120.00 90.00
Element x y z (fractional)
Ba 0.500 0.000 0.000
Ba 0.500 0.000 0.500
Ba 0.000 0.000 0.000
Ba 0.000 0.000 0.500
Li 0.000 0.500 0.000
Pm 0.500 0.500 0.000
Pm 0.500 0.500 0.500
Pm 0.000 0.500 0.500
Se 0.240 0.718 0.978
Se 0.240 0.718 0.480
Se 0.260 0.279 0.520
Se 0.738 0.718 0.978
Se 0.262 0.282 0.022
Se 0.740 0.721 0.480
Se 0.760 0.282 0.520
Se 0.760 0.282 0.022

Record 5
The following is a PBE-GGA calculation of a relaxed SmDyIr2 crystal, from Alexandria via LeMat-Bulk.

Output
**Symmetry**: Fm-3m
**Formation energy from the elements**: -0.719 eV per atom
**E above lowest polymorph**: 0.01 eV/f.u.
**Raw total energy**: -29.918 eV per formula unit
**Calculated density**: 13.90 g/cm3

Lattice parameters (Å, degrees): 4.902 4.902 4.902 60.00 60.00 60.00
Element x y z (fractional)
Ir 0.250 0.250 0.250
Ir 0.750 0.750 0.750
Sm 0.000 0.000 0.000
Dy 0.500 0.500 0.500

Record 6
The following is a PBE-GGA calculation of a relaxed La2Os crystal, from Alexandria via LeMat-Bulk.

Output
**Symmetry**: P-3m1
**Formation energy from the elements**: -0.089 eV per atom
**Raw total energy**: -21.351 eV per formula unit
**Calculated density**: 7.75 g/cm3

Lattice parameters (Å, degrees): 4.250 4.250 6.414 90.00 90.00 120.00
Element x y z (fractional)
Os 0.667 0.333 0.333
La 0.000 0.000 0.106
La 0.333 0.667 0.561